VASP calculation (GGA-PBE) on an optimized crystal structure of Ca4Mg3.

Cell: 6.3466 6.3466 6.6663 Å, 90.00 90.00 120.00°
Space group P6/mmm (No. 191)
Asymmetric unit:
Ca: 0.0000 0.0000 0.2455 [2 per cell]
Ca: 0.3333 0.6667 0.5000 [2 per cell]
Mg: 0.0000 0.5000 0.0000 [3 per cell]

Calculated values
Energy above the most stable polymorph in this dataset (eV per formula unit): 0.16


VASP calculation (GGA-PBE) on an optimized crystal structure of Ca5Mg24.

Cell: 11.435 11.435 11.435 Å, 90.00 90.00 90.00°
Space group I-43m (No. 217)
Asymmetric unit:
Ca: 0.000 0.000 0.000 [2 per cell]
Ca: 0.186 0.186 0.186 [8 per cell]
Mg: 0.033 0.358 0.642 [24 per cell]
Mg: 0.091 0.091 0.717 [24 per cell]

Calculated values
E_tot (eV per atom): -1.704


VASP calculation (GGA-PBE) on an optimized crystal structure of Ca4Mg.

Cell: 4.600 4.600 19.392 Å, 90.00 90.00 90.00°
Space group I4/mmm (No. 139)
Asymmetric unit:
Ca: 0.000 0.000 0.091 [4 per cell]
Ca: 0.000 0.500 0.250 [4 per cell]
Mg: 0.000 0.000 0.500 [2 per cell]

Calculated values
Energy above the most stable polymorph in this dataset (eV per formula unit): 1.51


VASP calculation (GGA-PBE) on an optimized crystal structure of CaMg12.

Cell: 10.329 10.329 5.995 Å, 90.00 90.00 90.00°
Space group I4/mmm (No. 139)
Asymmetric unit:
Ca: 0.000 0.000 0.000 [2 per cell]
Mg: 0.000 0.215 0.500 [8 per cell]
Mg: 0.000 0.352 0.000 [8 per cell]
Mg: 0.250 0.250 0.250 [8 per cell]

Calculated values
E_tot (eV per atom): -1.643


VASP calculation (GGA-PBE) on an optimized crystal structure of Ca7Mg6.

Cell: 6.9694 6.9694 32.9244 Å, 90.00 90.00 120.00°
Space group R-3m (No. 166, hexagonal axes)
Asymmetric unit:
Ca: 0.0000 0.0000 0.0000 [3 per cell]
Ca: 0.0057 0.5028 0.4178 [18 per cell]
Mg: 0.0000 0.0000 0.1665 [6 per cell]
Mg: 0.0000 0.0000 0.3521 [6 per cell]
Mg: 0.0000 0.0000 0.4531 [6 per cell]

Calculated values
E_tot (eV per atom): -1.589


VASP calculation (GGA-PBE) on an optimized crystal structure of CaMg5.

Cell: 5.7329 5.7329 16.3392 Å, 90.00 90.00 120.00°
Space group R32 (No. 155, hexagonal axes)
Asymmetric unit:
Ca: 0.0000 0.0000 0.0000 [3 per cell]
Mg: 0.0000 0.0000 0.3329 [6 per cell]
Mg: 0.0000 0.6754 0.5000 [9 per cell]

Calculated values
E_tot (eV per atom): -1.651


VASP calculation (GGA-PBE) on an optimized crystal structure of Ca5Mg.

Cell: 3.8452 3.8452 18.3436 Å, 90.00 90.00 120.00°
Space group P-6m2 (No. 187)
Asymmetric unit:
Ca: 0.0000 0.0000 0.0000 [1 per cell]
Ca: 0.0000 0.0000 0.3529 [2 per cell]
Ca: 0.3333 0.6667 0.1766 [2 per cell]
Mg: 0.3333 0.6667 0.5000 [1 per cell]

Calculated values
Energy above the most stable polymorph in this dataset (eV per formula unit): 0.28


VASP calculation (GGA-PBE) on an optimized crystal structure of Ca5Mg.

Cell: 6.5564 6.5564 6.1556 Å, 90.00 90.00 120.00°
Space group P-62m (No. 189)
Asymmetric unit:
Ca: 0.0000 0.6779 0.0000 [3 per cell]
Ca: 0.3333 0.6667 0.5000 [2 per cell]
Mg: 0.0000 0.0000 0.5000 [1 per cell]

Calculated values
Energy above the most stable polymorph in this dataset (eV per formula unit): 0.16


Question: What is the formula in the first record?
Answer: Ca4Mg3